Material: VOF3
Method: DFT, GGA+U
State: relaxed

Cell: 5.490 5.496 11.211 Å, 89.62 89.98 60.04°
Fractional coordinates of all 20 atoms:
V 0.000 0.000 0.000
V 0.000 0.000 0.500
V 0.405 0.000 0.250
V 0.595 0.000 0.750
O 0.759 0.052 0.868
O 0.188 0.053 0.367
O 0.812 0.947 0.633
O 0.241 0.948 0.132
F 0.703 0.072 0.405
F 0.797 0.364 0.033
F 0.839 0.364 0.534
F 0.224 0.072 0.904
F 0.702 0.671 0.278
F 0.627 0.670 0.778
F 0.373 0.330 0.222
F 0.298 0.329 0.722
F 0.776 0.928 0.096
F 0.203 0.636 0.967
F 0.161 0.636 0.466
F 0.297 0.928 0.595

Properties
Mass density (g cm⁻³): 2.8
Crystal system: monoclinic
E (eV per atom): -5.8721
DOS(E_F) (states/eV/cell): 0.00

---

Material: V4O5F7
Method: DFT, GGA+U
State: relaxed

Cell: 5.394 5.138 8.703 Å, 77.41 107.10 116.83°
Each line ends with the local moment (μB).
Fractional coordinates of all 16 atoms:
V 0.722 0.633 0.740  1.02
V 0.933 0.327 0.498  0.12
V 0.239 0.112 0.270  1.06
V 0.007 0.557 0.084  1.12
O 0.703 0.380 0.944  -0.11
O 0.868 0.453 0.653  -0.06
O 0.027 0.319 0.294  -0.05
O 0.586 0.322 0.363  -0.09
O 0.817 0.971 0.558  -0.05
F 0.147 0.803 0.439  0.01
F 0.552 0.822 0.788  -0.04
F 0.331 0.401 0.604  0.01
F 0.083 0.844 0.878  0.00
F 0.236 0.366 0.064  0.00
F 0.880 0.815 0.145  0.00
F 0.368 0.878 0.179  -0.01

Properties
Mass density (g cm⁻³): 3.4
Crystal system: triclinic
E (eV per atom): -6.5243